Entry from Alexandria via LeMat-Bulk: crystalline PrHf4 at its relaxed geometry (PBE).

Summary:
As for the space group: Pm-3m. The total magnetization comes out at 0.000 μB per atom. The formation energy is 1.563 eV per atom. Its crystal system is cubic.

Unit cell a=5.1563 b=5.1563 c=5.1563 alpha=90.00 beta=90.00 gamma=90.00
Fractional coordinates of all 5 atoms:
Pr: 0.0000 0.0000 0.0000
Hf: 0.0000 0.0000 0.5000
Hf: 0.0000 0.5000 0.0000
Hf: 0.5000 0.0000 0.0000
Hf: 0.5000 0.5000 0.5000